Entry from the Alexandria database: a geometry-optimized ZrZn2PtO structure (PBE-GGA).

Cell and atoms, written as POSCAR:
```
ZrZn2PtO
1.0
4.9905 0.0000 0.0000
0.0000 3.7907 0.0000
0.0000 0.0000 4.9905
Pt Zn O Zr
1 2 1 1
Cartesian
0.0000 0.0000 0.0000 Pt
2.4952 0.0000 0.0000 Zn
0.0000 0.0000 2.4952 Zn
0.0000 1.8953 0.0000 O
2.4952 1.8953 2.4952 Zr
```

## Properties
Uncorrected energy (eV for the cell shown): -20.82
ρ (g/cm3): 7.62

Entry from the Alexandria database: a geometry-optimized BeTe3Cl structure (PBE-GGA).

Cell and atoms, written as POSCAR:
```
BeTe3Cl
1.0
-1.0990 -3.1081 -3.7537
3.2789 -3.3183 1.7876
-3.6054 -2.0704 2.7699
Cl Te Be
1 3 1
Cartesian
-0.7128 -4.2484 0.4019 Cl
-1.8027 -1.0352 1.3850 Te
-0.5495 -1.5540 -1.8769 Te
1.6395 -1.6592 0.8938 Te
0.0000 0.0000 0.0000 Be
```

## Properties
Polymorph energy (0 for the lowest one) (meV/atom): 0.0
ρ (g/cm3): 5.69

Entry from the Alexandria database: a geometry-optimized Zr2CrPd structure (PBE-GGA).

Cell and atoms, written as POSCAR:
```
Zr2CrPd
1.0
0.0000 3.2898 3.2898
3.2898 0.0000 3.2898
3.2898 3.2898 0.0000
Cr Pd Zr
1 1 2
Cartesian
0.0000 0.0000 0.0000 Cr
3.2898 3.2898 3.2898 Pd
1.6449 1.6449 1.6449 Zr
4.9347 4.9347 4.9347 Zr
```

## Properties
Polymorph energy (0 for the lowest one) (meV/atom): 117.6
ρ (g/cm3): 7.95
Energy relative to the elements (meV per atom): -168

Entry from the Alexandria database: a geometry-optimized Cu12Se3Cl5 structure (PBE-GGA).

Cell and atoms, written as POSCAR:
```
Cu12Se3Cl5
1.0
-5.3044 11.1725 1.4537
-6.8830 -8.6422 5.7456
11.4316 0.1584 4.9363
Cu Cl Se
48 20 12
Cartesian
2.1734 -1.7397 9.2284 Cu
-3.8349 0.2614 3.3519 Cu
-1.3011 6.6586 2.5145 Cu
-6.0819 3.1721 5.1918 Cu
4.2512 9.7467 6.0134 Cu
1.1271 -0.4115 2.1752 Cu
3.3149 -4.2082 9.8464 Cu
3.5054 -4.6749 7.4547 Cu
-4.0938 -0.7743 7.8247 Cu
-2.3232 -2.7525 6.9703 Cu
0.5453 -3.9699 9.6211 Cu
-0.6026 0.2834 8.3028 Cu
1.5674 5.4413 5.1654 Cu
5.1676 3.6044 7.3586 Cu
-1.9046 -1.4649 9.4086 Cu
-4.0707 6.8969 2.2892 Cu
-2.9292 4.4285 2.9072 Cu
1.9974 1.8030 5.5033 Cu
3.3794 -0.4519 3.1239 Cu
-5.9234 -0.9156 4.7771 Cu
-3.0031 4.9513 5.2938 Cu
-7.0675 5.3953 5.4373 Cu
-4.8212 -3.0828 4.5264 Cu
-9.9810 1.4298 6.8970 Cu
5.3261 -0.4833 6.9439 Cu
2.2473 -2.2625 6.8418 Cu
3.0791 2.4274 8.7838 Cu
1.1487 4.1537 2.7271 Cu
6.9628 1.1732 4.3173 Cu
-2.7532 0.8858 6.6324 Cu
-5.0070 -7.0580 6.1223 Cu
6.3117 -2.7065 6.6984 Cu
-2.8007 -1.9240 2.9925 Cu
-0.1533 2.4054 3.8329 Cu
-1.4816 7.2516 4.8789 Cu
0.1588 3.7631 6.2490 Cu
2.0449 4.6127 9.1432 Cu
-4.1352 3.1406 9.0117 Cu
-1.8829 3.1002 9.9604 Cu
-0.9146 -1.0743 5.8867 Cu
2.0375 9.6989 4.9781 Cu
-2.7933 -7.0101 7.1575 Cu
-7.7186 1.5156 7.8184 Cu
-4.2613 7.3637 4.6810 Cu
4.0654 5.7716 7.6093 Cu
3.3380 3.4631 4.3110 Cu
0.7258 -4.5628 7.2567 Cu
9.2252 1.2590 5.2387 Cu
-3.9933 3.0374 6.5324 Cl
-6.0937 1.2652 3.5997 Cl
1.5252 0.6398 9.5371 Cl
-5.9198 -4.7490 6.0079 Cl
-0.3779 1.3444 6.0678 Cl
2.2743 -4.2419 5.3410 Cl
5.7242 3.2283 4.9656 Cl
-6.4800 -0.5395 7.1701 Cl
0.0000 0.0000 0.0000 Cl
3.0636 5.6655 3.1950 Cl
5.1640 7.4378 6.1278 Cl
-0.3863 -1.8046 3.5704 Cl
3.2375 -0.3487 5.6032 Cl
0.7827 7.7144 5.7936 Cl
-3.4415 -4.3211 2.8728 Cl
-0.3695 4.4934 8.5653 Cl
-2.2810 2.0490 2.5986 Cl
-1.5385 -5.0257 6.3420 Cl
-2.6522 5.5863 0.7269 Cl
5.7158 0.0792 2.4682 Cl
-8.3747 3.3141 6.1983 Se
-2.6438 8.7353 3.2243 Se
2.1004 1.7723 2.9328 Se
4.3747 -2.4696 8.2737 Se
-3.4331 -1.1721 5.3702 Se
-5.1305 5.1584 3.8619 Se
1.8880 -6.0465 8.9114 Se
7.6189 -0.6253 5.9374 Se
-2.8562 0.9165 9.2029 Se
-0.0067 -2.1929 7.9396 Se
-0.7492 4.8817 4.1961 Se
2.6773 3.8608 6.7654 Se
```

## Properties
Uncorrected energy (eV for the cell shown): -280.23
ρ (g/cm3): 5.26

Number 1: total moment 0.00 μB per formula unit. Number 2: total moment 0.00 μB per formula unit. Number 3: total moment 0.19 μB per formula unit. Number 4: total moment 0.00 μB per formula unit.